<P>
This record from Alexandria describes crystalline Ca2YTl at its relaxed geometry. The functional is PBEsol.

Properties
* calculated volume: 121 Å³/cell
* total magnetic moment: 0.00 μB per atom

abc: 3.566 5.003 6.798
angles: 90.00 90.00 90.00
Space group Pmmm (No. 47)
Unique sites:
Ca 0.000 0.000 0.235
Y 0.500 0.500 0.500
Tl 0.500 0.500 0.000


<Q>
This record from Alexandria describes crystalline Ca2YTl at its relaxed geometry. The functional is PBEsol.

Properties
* calculated volume: 130 Å³/cell
* total magnetic moment: 0.04 μB per atom

abc: 3.677 3.677 9.603
angles: 90.00 90.00 90.00
Space group P4mm (No. 99)
Unique sites:
Ca 0.000 0.000 0.000
Ca 0.500 0.500 0.312
Y 0.500 0.500 0.718
Tl 0.000 0.000 0.520


Most stable of them? <Q>.


<P>
This record from Alexandria describes crystalline Ca2YTl at its relaxed geometry. The functional is PBEsol.

Properties
* calculated volume: 123 Å³/cell
* total magnetic moment: 0.00 μB per atom

abc: 3.602 4.662 7.306
angles: 90.00 90.00 90.00
Space group Pmm2 (No. 25)
Unique sites:
Ca 0.000 0.000 0.000
Ca 0.500 0.500 0.292
Y 0.500 0.500 0.732
Tl 0.000 0.000 0.530


<Q>
This record from Alexandria describes crystalline Ca2YTl at its relaxed geometry. The functional is PBEsol.

Properties
* calculated volume: 248 Å³/cell
* total magnetic moment: 0.00 μB per atom

abc: 6.849 10.026 3.605
angles: 90.00 90.00 90.00
Space group Cmmm (No. 65)
Unique sites:
Ca 0.250 0.250 0.000
Y 0.000 0.000 0.500
Tl 0.000 0.500 0.500


<R>
This record from Alexandria describes crystalline Ca2YTl at its relaxed geometry. The functional is PBEsol.

Properties
* calculated volume: 117 Å³/cell
* total magnetic moment: 0.00 μB per atom

abc: 4.779 4.779 5.134
angles: 90.00 90.00 90.00
Space group P4/mmm (No. 123)
Unique sites:
Ca 0.000 0.500 0.000
Y 0.000 0.000 0.500
Tl 0.500 0.500 0.500


Most stable of them? <R>.


<P>
This record from Alexandria describes crystalline CaTl2Zn2 at its relaxed geometry. The functional is PBEsol.

Properties
* calculated volume: 232 Å³/cell
* total magnetic moment: 0.00 μB per atom

abc: 4.495 4.495 11.469
angles: 90.00 90.00 90.00
Space group I4/mmm (No. 139)
Unique sites:
Ca 0.000 0.000 0.000
Tl 0.000 0.500 0.250
Zn 0.000 0.000 0.397


<Q>
This record from Alexandria describes crystalline CaTl2Zn2 at its relaxed geometry. The functional is PBEsol.

Properties
* calculated volume: 231 Å³/cell
* total magnetic moment: 0.00 μB per atom

abc: 4.334 4.334 12.279
angles: 90.00 90.00 90.00
Space group I4/mmm (No. 139)
Unique sites:
Ca 0.000 0.000 0.000
Tl 0.000 0.000 0.382
Zn 0.000 0.500 0.250


Most stable of them? <P>.


<P>
This record from Alexandria describes crystalline Ca2ZrTl at its relaxed geometry. The functional is PBEsol.

Properties
* calculated volume: 219 Å³/cell
* total magnetic moment: 0.15 μB per atom

abc: 6.473 10.135 3.331
angles: 90.00 90.00 90.00
Space group Cmmm (No. 65)
Unique sites:
Ca 0.250 0.250 0.000
Zr 0.000 0.000 0.500
Tl 0.000 0.500 0.500


<Q>
This record from Alexandria describes crystalline Ca2ZrTl at its relaxed geometry. The functional is PBEsol.

Properties
* calculated volume: 111 Å³/cell
* total magnetic moment: 0.60 μB per atom

abc: 5.453 5.453 3.735
angles: 90.00 90.00 90.00
Space group P4/mmm (No. 123)
Unique sites:
Ca 0.000 0.500 0.000
Zr 0.000 0.000 0.500
Tl 0.500 0.500 0.500


Most stable of them? <P>.


<P>
This record from Alexandria describes crystalline Ca2W at its relaxed geometry. The functional is PBEsol.

Properties
* calculated volume: 169 Å³/cell
* total magnetic moment: 0.21 μB per atom

abc: 7.555 7.694 2.913
angles: 90.00 90.00 90.00
Space group Pnnm (No. 58)
Unique sites:
Ca 0.209 0.185 0.000
W 0.000 0.500 0.000


<Q>
This record from Alexandria describes crystalline Ca2W at its relaxed geometry. The functional is PBEsol.

Properties
* calculated volume: 547 Å³/cell
* total magnetic moment: 0.00 μB per atom

abc: 8.180 8.180 8.180
angles: 90.00 90.00 90.00
Space group Fd-3m (No. 227, origin choice 2)
Unique sites:
Ca 0.000 0.000 0.000
W 0.125 0.125 0.625


Most stable of them? <P>.


<P>
This record from Alexandria describes crystalline CaY2W at its relaxed geometry. The functional is PBEsol.

Properties
* calculated volume: 198 Å³/cell
* total magnetic moment: 0.00 μB per atom

abc: 4.553 4.656 9.359
angles: 90.00 90.00 90.00
Space group Imm2 (No. 44)
Unique sites:
Ca 0.000 0.000 0.000
Y 0.000 0.000 0.492
Y 0.000 0.500 0.246
W 0.000 0.500 0.751


<Q>
This record from Alexandria describes crystalline CaY2W at its relaxed geometry. The functional is PBEsol.

Properties
* calculated volume: 328 Å³/cell
* total magnetic moment: 0.22 μB per atom

abc: 3.4106 3.4106 32.5198
angles: 90.00 90.00 120.00
Space group R-3m (No. 166, hexagonal axes)
Unique sites:
Ca 0.0000 0.0000 0.0000
Y 0.0000 0.0000 0.2337
W 0.0000 0.0000 0.5000


Most stable of them? <Q>.


<P>
This record from Alexandria describes crystalline CaYW2 at its relaxed geometry. The functional is PBEsol.

Properties
* calculated volume: 161 Å³/cell
* total magnetic moment: 0.00 μB per atom

abc: 10.394 2.775 5.588
angles: 90.00 93.45 90.00
Space group C2/m (No. 12)
Unique sites:
Ca 0.000 0.000 0.000
Y 0.000 0.500 0.500
W 0.249 0.000 0.733


<Q>
This record from Alexandria describes crystalline CaYW2 at its relaxed geometry. The functional is PBEsol.

Properties
* calculated volume: 179 Å³/cell
* total magnetic moment: 0.00 μB per atom

abc: 3.453 5.151 10.073
angles: 90.00 90.00 90.00
Space group Imm2 (No. 44)
Unique sites:
Ca 0.000 0.000 0.000
Y 0.000 0.500 0.218
W 0.000 0.000 0.443
W 0.000 0.500 0.772


Most stable of them? <Q>.


<P>
This record from Alexandria describes crystalline CaY5 at its relaxed geometry. The functional is PBEsol.

Properties
* calculated volume: 804 Å³/cell
* total magnetic moment: 0.00 μB per atom

abc: 9.297 9.297 9.297
angles: 90.00 90.00 90.00
Space group F-43m (No. 216)
Unique sites:
Ca 0.000 0.000 0.000
Y 0.123 0.123 0.623
Y 0.250 0.250 0.250


<Q>
This record from Alexandria describes crystalline CaY5 at its relaxed geometry. The functional is PBEsol.

Properties
* calculated volume: 385 Å³/cell
* total magnetic moment: 0.00 μB per atom

abc: 12.983 3.602 8.458
angles: 90.00 103.42 90.00
Space group Cm (No. 8)
Unique sites:
Ca 0.000 0.000 0.000
Y 0.117 0.500 0.714
Y 0.171 0.500 0.339
Y 0.274 0.000 0.059
Y 0.332 0.000 0.661
Y 0.444 0.500 0.394


<R>
This record from Alexandria describes crystalline CaY5 at its relaxed geometry. The functional is PBEsol.

Properties
* calculated volume: 384 Å³/cell
* total magnetic moment: 0.02 μB per atom

abc: 5.678 3.581 18.891
angles: 90.00 90.00 90.00
Space group Amm2 (No. 38)
Unique sites:
Ca 0.000 0.000 0.000
Y 0.000 0.000 0.328
Y 0.000 0.000 0.669
Y 0.500 0.000 0.112
Y 0.500 0.000 0.440
Y 0.500 0.000 0.776


Most stable of them? <Q>.